This record from Alexandria via LeMat-Bulk describes Na2In2Au15 after structural relaxation. The functional is PBE.

Unit cell a=9.8402 b=9.8402 c=14.0469 alpha=90.00 beta=90.00 gamma=120.00
Space group R-3m (No. 166, hexagonal axes)
Unique sites:
Na: 0.0000 0.0000 0.1383 (multiplicity 6)
In: 0.0000 0.0000 0.3953 (multiplicity 6)
Au: 0.0000 0.3319 0.5000 (multiplicity 18)
Au: 0.0000 0.5000 0.0000 (multiplicity 9)
Au: 0.0049 0.5024 0.6646 (multiplicity 18)

Output
E_form, meV per atom: -144
Total magnetization, μB/cell: 0.000
E, eV/f.u.: -60.0